TbDy3Pb5 | Alexandria | PBE | optimized geometry; DOS at the Fermi energy = 17.3 states/eV per cell; E = -81.2 eV for the cell shown; SG = P6_3/mcm; M_tot = 0.0 μB per formula unit; formation enthalpy at 0 K = -0.40 eV per atom
1.0
-0.6815 -1.3133 6.3710
1.6725 -9.2455 -1.7269
7.2633 5.8777 1.9885
Tb Dy Pb
2 6 10
direct
0.0000 0.0000 0.0000 Tb
0.5000 0.0000 0.0000 Tb
0.7500 0.3804 0.0000 Dy
0.7500 0.6196 0.6196 Dy
0.7500 0.0000 0.3804 Dy
0.2500 0.6196 0.0000 Dy
0.2500 0.3804 0.3804 Dy
0.2500 0.0000 0.6196 Dy
0.0000 0.3333 0.6667 Pb
0.5000 0.6667 0.3333 Pb
0.0000 0.6667 0.3333 Pb
0.5000 0.3333 0.6667 Pb
0.7500 0.7105 0.0000 Pb
0.7500 0.2895 0.2895 Pb
0.7500 0.0000 0.7105 Pb
0.2500 0.2895 0.0000 Pb
0.2500 0.7105 0.7105 Pb
0.2500 0.0000 0.2895 Pb

***

Tb6Dy8Pb | Alexandria | PBE | optimized geometry; DOS at the Fermi energy = 20.9 states/eV per cell; E = -65.6 eV for the cell shown; SG = P-3; M_tot = 0.0 μB per formula unit; formation enthalpy at 0 K = 0.18 eV per atom
1.0
-5.2709 -0.2967 -4.1820
-0.9237 -8.9525 1.7994
-4.4210 6.1926 5.1328
Tb Dy Pb
6 8 1
direct
0.6058 0.6814 0.0772 Tb
0.6058 0.9228 0.6042 Tb
0.6058 0.3958 0.3186 Tb
0.3942 0.3186 0.9228 Tb
0.3942 0.0772 0.3958 Tb
0.3942 0.6042 0.6814 Tb
0.8876 0.9846 0.3117 Dy
0.8876 0.6883 0.6729 Dy
0.8876 0.3271 0.0154 Dy
0.1124 0.0154 0.6883 Dy
0.1124 0.3117 0.3271 Dy
0.1124 0.6729 0.9846 Dy
0.8138 0.3333 0.6667 Dy
0.1862 0.6667 0.3333 Dy
0.5000 0.0000 0.0000 Pb

***

- What is the M_tot in the second record?
  0.0 μB per formula unit

***

- Look up the E of the first one.
  -81.2 eV for the cell shown